Record 1
# CaPrSnHg GGA-PBE optimized geometry
data_CaPrSnHg
_chemical_formula_sum 'Ca1 Pr1 Sn1 Hg1'
_cell_length_a 5.458
_cell_length_b 5.458
_cell_length_c 5.458
_cell_angle_alpha 60.00
_cell_angle_beta 60.00
_cell_angle_gamma 60.00
_symmetry_space_group_name_H-M 'P 1'
_symmetry_Int_Tables_number 1
_symmetry_space_group_name_Hall 'P 1'
loop_
_atom_site_label
_atom_site_fract_x
_atom_site_fract_y
_atom_site_fract_z
_atom_site_occupancy
Pr1 0.000 0.000 0.000 1
Ca1 0.500 0.500 0.500 1
Hg1 0.750 0.750 0.750 1
Sn1 0.250 0.250 0.250 1
# D(E_F): 0.86 states/eV/atom
# Magnetization: 0.00 μB per cell
# Raw total energy: -3.380 eV/atom
# Formation energy: -0.608 eV/atom

---

Record 2
# BeAlPb2 GGA-PBE optimized geometry
data_BeAlPb2
_chemical_formula_sum 'Be1 Al1 Pb2'
_cell_length_a 5.075
_cell_length_b 5.075
_cell_length_c 5.075
_cell_angle_alpha 60.00
_cell_angle_beta 60.00
_cell_angle_gamma 60.00
_symmetry_space_group_name_H-M 'P 1'
_symmetry_Int_Tables_number 1
_symmetry_space_group_name_Hall 'P 1'
loop_
_atom_site_label
_atom_site_fract_x
_atom_site_fract_y
_atom_site_fract_z
_atom_site_occupancy
Pb1 0.250 0.250 0.250 1
Pb2 0.750 0.750 0.750 1
Be1 0.000 0.000 0.000 1
Al1 0.500 0.500 0.500 1
# Distance to the lowest polymorph of the same formula: 24.8 kJ/mol of atoms
# D(E_F): 0.51 states/eV/atom
# Magnetization: 0.00 μB per cell
# Raw total energy: -3.150 eV/atom
# Formation energy: 0.571 eV/atom

---

Record 3
# Pb2Au2F GGA-PBE optimized geometry
data_Pb2Au2F
_chemical_formula_sum 'Pb2 Au2 F1'
_cell_length_a 5.851
_cell_length_b 5.851
_cell_length_c 5.472
_cell_angle_alpha 57.68
_cell_angle_beta 57.68
_cell_angle_gamma 90.00
_symmetry_space_group_name_H-M 'P 1'
_symmetry_Int_Tables_number 1
_symmetry_space_group_name_Hall 'P 1'
loop_
_atom_site_label
_atom_site_fract_x
_atom_site_fract_y
_atom_site_fract_z
_atom_site_occupancy
Pb1 0.750 0.250 0.500 1
Pb2 0.250 0.750 0.500 1
Au1 0.320 0.320 0.361 1
Au2 0.680 0.680 0.639 1
F1 0.000 0.000 0.000 1
# Distance to the lowest polymorph of the same formula: 21.6 kJ/mol of atoms
# D(E_F): 0.44 states/eV/atom
# Magnetization: 0.00 μB per cell
# Raw total energy: -3.504 eV/atom
# ΔE_f (raw): -336 meV/atom

---

Record 4
# TlCd2Ga GGA-PBE optimized geometry
data_TlCd2Ga
_chemical_formula_sum 'Tl1 Cd2 Ga1'
_cell_length_a 3.415
_cell_length_b 3.415
_cell_length_c 9.923
_cell_angle_alpha 80.09
_cell_angle_beta 80.09
_cell_angle_gamma 60.00
_symmetry_space_group_name_H-M 'P 1'
_symmetry_Int_Tables_number 1
_symmetry_space_group_name_Hall 'P 1'
loop_
_atom_site_label
_atom_site_fract_x
_atom_site_fract_y
_atom_site_fract_z
_atom_site_occupancy
Tl1 0.500 0.500 0.499 1
Cd1 0.075 0.075 0.776 1
Cd2 0.259 0.259 0.224 1
Ga1 0.666 0.666 0.001 1
# Distance to the lowest polymorph of the same formula: 0.0 kJ/mol of atoms
# D(E_F): 0.44 states/eV/atom
# Magnetization: 0.00 μB per cell
# Raw total energy: -1.734 eV/atom
# Formation energy: 0.072 eV/atom

---

Record 5
# CaCrCo2 GGA-PBE optimized geometry
data_CaCrCo2
_chemical_formula_sum 'Ca1 Cr1 Co2'
_cell_length_a 4.345
_cell_length_b 4.345
_cell_length_c 4.345
_cell_angle_alpha 60.00
_cell_angle_beta 60.00
_cell_angle_gamma 60.00
_symmetry_space_group_name_H-M 'P 1'
_symmetry_Int_Tables_number 1
_symmetry_space_group_name_Hall 'P 1'
loop_
_atom_site_label
_atom_site_fract_x
_atom_site_fract_y
_atom_site_fract_z
_atom_site_occupancy
Cr1 0.500 0.500 0.500 1
Ca1 0.000 0.000 0.000 1
Co1 0.250 0.250 0.250 1
Co2 0.750 0.750 0.750 1
# Distance to the lowest polymorph of the same formula: 31.4 kJ/mol of atoms
# D(E_F): 1.40 states/eV/atom
# Magnetization: 2.57 μB per cell
# Raw total energy: -5.863 eV/atom
# Formation energy: 0.597 eV/atom

---

Record 6
# Sm5Y3Bi8 GGA-PBE optimized geometry
data_Sm5Y3Bi8
_chemical_formula_sum 'Sm5 Y3 Bi8'
_cell_length_a 9.065
_cell_length_b 9.065
_cell_length_c 9.061
_cell_angle_alpha 59.99
_cell_angle_beta 59.99
_cell_angle_gamma 60.00
_symmetry_space_group_name_H-M 'P 1'
_symmetry_Int_Tables_number 1
_symmetry_space_group_name_Hall 'P 1'
loop_
_atom_site_label
_atom_site_fract_x
_atom_site_fract_y
_atom_site_fract_z
_atom_site_occupancy
Sm1 0.500 0.000 0.000 1
Sm2 0.500 0.500 0.000 1
Sm3 0.000 0.000 0.000 1
Sm4 0.000 0.500 0.000 1
Sm5 0.500 0.500 0.500 1
Y1 0.500 0.000 0.500 1
Y2 0.000 0.000 0.500 1
Y3 0.000 0.500 0.500 1
Bi1 0.250 0.250 0.747 1
Bi2 0.250 0.753 0.747 1
Bi3 0.753 0.250 0.747 1
Bi4 0.752 0.752 0.745 1
Bi5 0.750 0.750 0.253 1
Bi6 0.750 0.247 0.253 1
Bi7 0.247 0.750 0.253 1
Bi8 0.248 0.248 0.255 1
# D(E_F): 0.17 states/eV/atom
# Magnetization: 0.00 μB per cell
# Raw total energy: -5.541 eV/atom
# Formation energy: -0.914 eV/atom

---

Record 7
# HoZnAg4 GGA-PBE optimized geometry
data_HoZnAg4
_chemical_formula_sum 'Ho1 Zn1 Ag4'
_cell_length_a 5.520
_cell_length_b 5.520
_cell_length_c 5.520
_cell_angle_alpha 60.00
_cell_angle_beta 60.00
_cell_angle_gamma 60.00
_symmetry_space_group_name_H-M 'P 1'
_symmetry_Int_Tables_number 1
_symmetry_space_group_name_Hall 'P 1'
loop_
_atom_site_label
_atom_site_fract_x
_atom_site_fract_y
_atom_site_fract_z
_atom_site_occupancy
Zn1 0.000 0.000 0.000 1
Ho1 0.250 0.250 0.250 1
Ag1 0.625 0.625 0.124 1
Ag2 0.625 0.124 0.625 1
Ag3 0.625 0.625 0.625 1
Ag4 0.124 0.625 0.625 1
# Distance to the lowest polymorph of the same formula: 1.0 kJ/mol of atoms
# D(E_F): 1.22 states/eV/atom
# Magnetization: 0.00 μB per cell
# Raw total energy: -2.971 eV/atom
# Formation energy: -0.094 eV/atom

---

Record 8
# GdCoH2 GGA-PBE optimized geometry
data_GdCoH2
_chemical_formula_sum 'Gd1 Co1 H2'
_cell_length_a 3.038
_cell_length_b 3.038
_cell_length_c 5.609
_cell_angle_alpha 74.28
_cell_angle_beta 74.28
_cell_angle_gamma 60.00
_symmetry_space_group_name_H-M 'P 1'
_symmetry_Int_Tables_number 1
_symmetry_space_group_name_Hall 'P 1'
loop_
_atom_site_label
_atom_site_fract_x
_atom_site_fract_y
_atom_site_fract_z
_atom_site_occupancy
H1 0.141 0.141 0.577 1
H2 0.859 0.859 0.423 1
Gd1 0.000 0.000 0.000 1
Co1 0.500 0.500 0.500 1
# D(E_F): 0.68 states/eV/atom
# Magnetization: 7.45 μB per cell
# Raw total energy: -6.811 eV/atom

---

Record 9
# Rb2TmPa2Se6 GGA-PBE optimized geometry
data_Rb2TmPa2Se6
_chemical_formula_sum 'Rb2 Tm1 Pa2 Se6'
_cell_length_a 7.171
_cell_length_b 7.171
_cell_length_c 8.612
_cell_angle_alpha 97.90
_cell_angle_beta 97.90
_cell_angle_gamma 119.58
_symmetry_space_group_name_H-M 'P 1'
_symmetry_Int_Tables_number 1
_symmetry_space_group_name_Hall 'P 1'
loop_
_atom_site_label
_atom_site_fract_x
_atom_site_fract_y
_atom_site_fract_z
_atom_site_occupancy
Rb1 0.832 0.168 0.000 1
Rb2 0.168 0.832 0.000 1
Tm1 0.000 0.000 0.500 1
Pa1 0.336 0.664 0.500 1
Pa2 0.664 0.336 0.500 1
Se1 0.737 0.737 0.696 1
Se2 0.063 0.395 0.693 1
Se3 0.263 0.263 0.304 1
Se4 0.395 0.063 0.693 1
Se5 0.937 0.605 0.307 1
Se6 0.605 0.937 0.307 1
# D(E_F): 1.10 states/eV/atom
# Magnetization: 3.02 μB per cell
# Raw total energy: -5.693 eV/atom
# ΔE_f (raw): -1484 meV/atom

---

Record 10
# MgZrSi2 GGA-PBE optimized geometry
data_MgZrSi2
_chemical_formula_sum 'Mg1 Zr1 Si2'
_cell_length_a 3.817
_cell_length_b 4.253
_cell_length_c 4.253
_cell_angle_alpha 90.00
_cell_angle_beta 90.00
_cell_angle_gamma 90.00
_symmetry_space_group_name_H-M 'P 1'
_symmetry_Int_Tables_number 1
_symmetry_space_group_name_Hall 'P 1'
loop_
_atom_site_label
_atom_site_fract_x
_atom_site_fract_y
_atom_site_fract_z
_atom_site_occupancy
Mg1 0.500 0.000 0.500 1
Si1 0.000 0.000 0.000 1
Si2 0.000 0.500 0.500 1
Zr1 0.500 0.500 0.000 1
# D(E_F): 0.46 states/eV/atom
# Magnetization: 0.00 μB per cell
# Raw total energy: -5.516 eV/atom
# ΔE_f (raw): -269 meV/atom

---

Record 11
# Pu5Se4S GGA-PBE optimized geometry
data_Pu5Se4S
_chemical_formula_sum 'Pu5 Se4 S1'
_cell_length_a 5.830
_cell_length_b 7.134
_cell_length_c 7.134
_cell_angle_alpha 80.39
_cell_angle_beta 65.88
_cell_angle_gamma 65.88
_symmetry_space_group_name_H-M 'P 1'
_symmetry_Int_Tables_number 1
_symmetry_space_group_name_Hall 'P 1'
loop_
_atom_site_label
_atom_site_fract_x
_atom_site_fract_y
_atom_site_fract_z
_atom_site_occupancy
Pu1 0.903 0.389 0.807 1
Pu2 0.292 0.807 0.611 1
Pu3 0.710 0.193 0.389 1
Pu4 0.099 0.611 0.193 1
Pu5 0.501 0.000 0.000 1
Se1 0.404 0.398 0.795 1
Se2 0.803 0.795 0.602 1
Se3 0.199 0.205 0.398 1
Se4 0.598 0.602 0.205 1
S1 0.001 0.000 0.000 1
# D(E_F): 4.46 states/eV/atom
# Magnetization: 28.72 μB per cell
# Raw total energy: -10.536 eV/atom
# ΔE_f (raw): -1564 meV/atom

---

Record 12
# PuWC GGA-PBE optimized geometry
data_PuWC
_chemical_formula_sum 'Pu4 W4 C4'
_cell_length_a 6.163
_cell_length_b 6.028
_cell_length_c 4.678
_cell_angle_alpha 90.00
_cell_angle_beta 90.00
_cell_angle_gamma 91.69
_symmetry_space_group_name_H-M 'P 1'
_symmetry_Int_Tables_number 1
_symmetry_space_group_name_Hall 'P 1'
loop_
_atom_site_label
_atom_site_fract_x
_atom_site_fract_y
_atom_site_fract_z
_atom_site_occupancy
C1 0.626 0.714 0.486 1
C2 0.126 0.714 0.014 1
C3 0.874 0.286 0.986 1
C4 0.374 0.286 0.514 1
W1 0.888 0.562 0.264 1
W2 0.388 0.562 0.236 1
W3 0.612 0.438 0.764 1
W4 0.112 0.438 0.736 1
Pu1 0.913 0.946 0.712 1
Pu2 0.413 0.946 0.788 1
Pu3 0.587 0.054 0.212 1
Pu4 0.087 0.054 0.288 1
# Distance to the lowest polymorph of the same formula: 0.0 kJ/mol of atoms
# D(E_F): 1.33 states/eV/atom
# Magnetization: 6.38 μB per cell
# Raw total energy: -11.988 eV/atom
# Formation energy: 0.182 eV/atom